(1)
# Ac4GeSbTe2 (PBE, optimized geometry)
# E_tot = -5.2519 eV per atom
# DOS(E_F) = 2.0 states/eV per cell
# uncorrected formation energy = -1320 meV/atom
data_Ac4GeSbTe2
_cell_length_a 8.210
_cell_length_b 4.721
_cell_length_c 8.229
_cell_angle_alpha 90.00
_cell_angle_beta 109.27
_cell_angle_gamma 90.00
_space_group_name_H-M_alt 'P 1 2/m 1'
_space_group_IT_number 10
loop_
_space_group_symop_operation_xyz
'x,y,z'
'-x,-y,-z'
'-x,y,-z'
'x,-y,z'
loop_
_atom_site_label
_atom_site_type_symbol
_atom_site_fract_x
_atom_site_fract_y
_atom_site_fract_z
_atom_site_occupancy
Ac1 Ac 0.233 0.000 0.228 1
Ac2 Ac 0.245 0.500 0.766 1
Ge1 Ge 0.000 0.500 0.000 1
Sb1 Sb 0.500 0.000 0.000 1
Te1 Te 0.000 0.000 0.500 1
Te2 Te 0.500 0.500 0.500 1

***

(2)
# AcZnGeSb (PBE, optimized geometry)
# E_tot = -3.7260 eV per atom
# DOS(E_F) = 17.8 states/eV per cell
# uncorrected formation energy = -195 meV/atom
data_AcZnGeSb
_cell_length_a 7.487
_cell_length_b 7.487
_cell_length_c 7.487
_cell_angle_alpha 90.00
_cell_angle_beta 90.00
_cell_angle_gamma 90.00
_space_group_name_H-M_alt 'F -4 3 m'
_space_group_IT_number 216
_space_group_name_Hall 'F -4 2 3'
loop_
_atom_site_label
_atom_site_type_symbol
_atom_site_fract_x
_atom_site_fract_y
_atom_site_fract_z
_atom_site_occupancy
Ac1 Ac 0.000 0.000 0.000 1
Zn1 Zn 0.250 0.250 0.250 1
Ge1 Ge 0.250 0.250 0.750 1
Sb1 Sb 0.000 0.000 0.500 1

***

(3)
# Ac5ScGe4 (PBE, optimized geometry)
# E_tot = -5.0118 eV per atom
# DOS(E_F) = 14.6 states/eV per cell
# energy of formation from the pure elements = -0.477 eV per atom
data_Ac5ScGe4
_cell_length_a 21.090
_cell_length_b 4.456
_cell_length_c 8.111
_cell_angle_alpha 90.00
_cell_angle_beta 112.57
_cell_angle_gamma 90.00
_space_group_name_H-M_alt 'C 1 2/m 1'
_space_group_IT_number 12
loop_
_space_group_symop_operation_xyz
'x,y,z'
'-x,-y,-z'
'-x,y,-z'
'x,-y,z'
'x+1/2,y+1/2,z'
'-x+1/2,-y+1/2,-z'
'-x+1/2,y+1/2,-z'
'x+1/2,-y+1/2,z'
loop_
_atom_site_label
_atom_site_type_symbol
_atom_site_fract_x
_atom_site_fract_y
_atom_site_fract_z
_atom_site_occupancy
Ac1 Ac 0.000 0.000 0.000 1
Ac2 Ac 0.160 0.500 0.410 1
Ac3 Ac 0.160 0.500 0.910 1
Sc1 Sc 0.000 0.000 0.500 1
Ge1 Ge 0.000 0.500 0.286 1
Ge2 Ge 0.202 0.000 0.703 1

***

(4)
# Ac2ScGe (PBE, optimized geometry)
# polymorph energy (0 for the lowest one) = 0.390 eV per atom
# E_tot = -4.5759 eV per atom
# DOS(E_F) = 20.5 states/eV per cell
# energy of formation from the pure elements = 0.216 eV per atom
data_Ac2ScGe
_cell_length_a 3.7763
_cell_length_b 3.7763
_cell_length_c 34.4286
_cell_angle_alpha 90.00
_cell_angle_beta 90.00
_cell_angle_gamma 120.00
_space_group_name_H-M_alt 'R -3 m'
_space_group_IT_number 166
_space_group_name_Hall '-R 3 2"'
loop_
_atom_site_label
_atom_site_type_symbol
_atom_site_fract_x
_atom_site_fract_y
_atom_site_fract_z
_atom_site_occupancy
Ac1 Ac 0.0000 0.0000 0.1003 1
Sc1 Sc 0.0000 0.0000 0.0000 1
Ge1 Ge 0.0000 0.0000 0.5000 1